(1)
## La2TbRh (PBE)

Data for a geometry-optimized La2TbRh structure.

Summary:
**ΔE to the lowest computed polymorph**: 0 meV per atom
**Formation enthalpy at 0 K**: -1.829 eV per formula unit

Structure (POSCAR):
```
La2TbRh
1.0
6.404 0.000 0.000
0.000 7.344 0.000
0.000 0.000 10.178
La Tb Rh
8 4 4
Cartesian
2.109 1.261 4.409 La
5.311 2.411 9.498 La
1.093 4.933 0.679 La
1.093 4.933 4.409 La
2.109 1.261 0.679 La
4.295 6.083 5.768 La
5.311 2.411 5.768 La
4.295 6.083 9.498 La
1.005 7.076 7.633 Tb
4.207 3.940 2.544 Tb
2.197 3.404 7.633 Tb
5.400 0.268 2.544 Tb
3.630 0.928 7.633 Rh
2.774 6.416 2.544 Rh
5.976 4.600 7.633 Rh
0.428 2.744 2.544 Rh
```

(2)
## Sr3HPb (PBE)

Data for a geometry-optimized Sr3HPb structure.

Summary:
**ΔE to the lowest computed polymorph**: 0 meV per atom

Structure (POSCAR):
```
Sr3HPb
1.0
-4.297 1.790 -2.618
-2.656 -4.442 1.322
-1.734 2.365 4.464
H Sr Pb
1 3 1
Cartesian
0.000 0.000 0.000 H
-0.867 1.183 2.232 Sr
-2.149 0.895 -1.309 Sr
-1.328 -2.221 0.661 Sr
-4.344 -0.143 1.584 Pb
```

(3)
## MgCuF5 (PBE)

Data for a geometry-optimized MgCuF5 structure.

Summary:
**Raw formation energy**: -2.205 eV/atom
**ΔE to the lowest computed polymorph**: 15 meV per atom

Structure (POSCAR):
```
MgCuF5
1.0
-0.643 2.224 -2.880
-5.097 1.294 -0.233
-0.373 5.007 1.580
F Mg Cu
5 1 1
Cartesian
-1.844 3.238 -1.828 F
-0.321 1.112 -1.440 F
-1.830 3.862 1.021 F
-4.269 5.286 0.295 F
-3.640 2.439 0.326 F
-3.056 4.262 -0.767 Mg
0.000 0.000 0.000 Cu
```

(4)
## K2N2Cl (PBE)

Data for a geometry-optimized K2N2Cl structure.

Summary:
**Raw formation energy**: -0.850 eV/atom
**ΔE to the lowest computed polymorph**: 0 meV per atom

Structure (POSCAR):
```
K2N2Cl
1.0
4.128 0.000 1.418
1.966 3.832 0.993
-0.379 0.166 7.819
K N Cl
2 2 1
Cartesian
1.423 1.120 2.573 K
4.292 2.878 7.657 K
2.760 1.489 5.400 N
2.956 2.510 4.830 N
0.000 0.000 0.000 Cl
```

Question: What is the formula in the second record?
Answer: Sr3HPb